(1)
DFT (meta-GGA SCAN) results for a crystal of AuS2BrCl relaxed with PBEsol.

Results
M_tot: 0.00 μB per atom
Calculated density: 5.5 g cm⁻³
DFT total energy: -1.6167 Ry/atom
Formation energy without anion corrections: 5.869 eV/f.u.

Geometry as POSCAR:
```
AuS2BrCl
1.0
4.8737 0.0000 0.0000
0.0000 4.8737 0.0000
0.0000 0.0000 4.7425
Au S Br Cl
1 2 1 1
direct
0.0000 0.0000 0.0000
0.0000 0.5000 0.5000
0.5000 0.0000 0.5000
0.5000 0.5000 0.5000
0.5000 0.5000 0.0000
```

(2)
DFT (meta-GGA SCAN) results for a crystal of CdBr2Cl relaxed with PBEsol.

Results
M_tot: 0.25 μB per atom
Calculated density: 5.4 g cm⁻³
DFT total energy: -1.4341 Ry/atom
Formation energy without anion corrections: -0.739 eV/f.u.

Geometry as POSCAR:
```
CdBr2Cl
1.0
3.4969 0.0000 0.0000
0.0000 3.4969 0.0000
0.0000 0.0000 7.6934
Cd Br Cl
1 2 1
direct
0.0000 0.0000 0.0000
0.5000 0.5000 0.2120
0.5000 0.5000 0.7880
0.0000 0.0000 0.5000
```

(3)
DFT (meta-GGA SCAN) results for a crystal of Tl3RhI relaxed with PBEsol.

Results
M_tot: 0.00 μB per atom
Calculated density: 9.6 g cm⁻³
DFT total energy: -4.2506 Ry/atom
Formation energy without anion corrections: -1.572 eV/f.u.

Geometry as POSCAR:
```
Tl3RhI
1.0
5.2650 0.0000 0.0000
0.0000 5.2650 0.0000
0.0000 0.0000 5.2650
Tl Rh I
3 1 1
direct
0.0000 0.0000 0.5000
0.0000 0.5000 0.0000
0.5000 0.0000 0.0000
0.0000 0.0000 0.0000
0.5000 0.5000 0.5000
```